Compound: Zr2Al2Pb
Source: Alexandria
Functional: GGA-PBE
Structure: optimized geometry

Properties
For the energy of formation, the calculation gives -60 meV per atom.

Unit cell a=8.1005 b=8.1005 c=3.3681 alpha=90.00 beta=90.00 gamma=90.00
Space group P4/mbm (No. 127)
One atom of each set of equivalent atoms:
Zr  0.1309  0.3691  0.0000 (multiplicity 4)
Al  0.1702  0.6702  0.5000 (multiplicity 4)
Pb  0.0000  0.0000  0.0000 (multiplicity 2)

---

Compound: ZrHg7
Source: Alexandria
Functional: GGA-PBE
Structure: optimized geometry

Properties
For the energy of formation, the calculation gives 47 meV per atom.

Unit cell a=9.1501 b=9.1501 c=9.1501 alpha=90.00 beta=90.00 gamma=90.00
Space group Fm-3m (No. 225)
One atom of each set of equivalent atoms:
Zr  0.0000  0.0000  0.0000 (multiplicity 4)
Hg  0.0000  0.0000  0.5000 (multiplicity 4)
Hg  0.0000  0.2500  0.2500 (multiplicity 24)

---

Compound: Si2PW
Source: Alexandria
Functional: GGA-PBE
Structure: optimized geometry

Properties
The energy relative to the elements, uncorrected comes out at 0.19 eV/atom.

Unit cell a=3.1711 b=3.1711 c=20.5750 alpha=90.00 beta=90.00 gamma=120.00
Space group R3m (No. 160, hexagonal axes)
One atom of each set of equivalent atoms:
Si  0.0000  0.0000  0.0000 (multiplicity 3)
Si  0.0000  0.0000  0.2497 (multiplicity 3)
P  0.0000  0.0000  0.5042 (multiplicity 3)
W  0.0000  0.0000  0.7556 (multiplicity 3)

---

Compound: PmHoO3
Source: Alexandria
Functional: GGA-PBE
Structure: optimized geometry

Properties
The energy relative to the elements, uncorrected comes out at -3.00 eV/atom.

Unit cell a=5.8937 b=12.9637 c=4.1129 alpha=90.00 beta=90.00 gamma=90.00
Space group Cmmm (No. 65)
One atom of each set of equivalent atoms:
Pm  0.0000  0.1638  0.0000 (multiplicity 4)
Ho  0.0000  0.3814  0.5000 (multiplicity 4)
O  0.0000  0.3327  0.0000 (multiplicity 4)
O  0.2321  0.0000  0.5000 (multiplicity 4)
O  0.2500  0.2500  0.5000 (multiplicity 4)

---

Compound: MgGa
Source: Alexandria
Functional: GGA-PBE
Structure: optimized geometry

Properties
For the energy of formation, the calculation gives 141 meV per atom.

Unit cell a=5.6489 b=5.6489 c=5.6489 alpha=90.00 beta=90.00 gamma=90.00
Space group Fm-3m (No. 225)
One atom of each set of equivalent atoms:
Mg  0.0000  0.0000  0.0000 (multiplicity 4)
Ga  0.0000  0.0000  0.5000 (multiplicity 4)

---

Compound: Mg2InNi
Source: Alexandria
Functional: GGA-PBE
Structure: optimized geometry

Properties
For the energy of formation, the calculation gives -86 meV per atom.

Unit cell a=3.2611 b=4.7045 c=9.7130 alpha=90.00 beta=90.00 gamma=90.00
Space group Imm2 (No. 44)
One atom of each set of equivalent atoms:
Mg  0.0000  0.0000  0.0000 (multiplicity 2)
Mg  0.0000  0.5000  0.2063 (multiplicity 2)
In  0.0000  0.5000  0.7831 (multiplicity 2)
Ni  0.0000  0.0000  0.4945 (multiplicity 2)